# ThZrTi, optimized geometry, DFT PBE
# Spin magnetization, μB per atom: 0.00
# ΔE_f, eV per atom: 0.17
# Mass density, Mg/m³: 8.45
# Total DFT energy (no corrections), eV per atom: -7.79
data_ThZrTi
_chemical_formula_sum 'Th1 Zr1 Ti1'
_space_group_name_H-M_alt 'P 3 m 1'
_space_group_IT_number 156
_cell_length_a 5.0120
_cell_length_b 5.0120
_cell_length_c 3.3526
_cell_angle_alpha 90.00
_cell_angle_beta 90.00
_cell_angle_gamma 120.00
loop_
_space_group_symop_operation_xyz
'x,y,z'
'-y,x-y,z'
'-x+y,-x,z'
'-y,-x,z'
'-x+y,y,z'
'x,x-y,z'
loop_
_atom_site_label
_atom_site_type_symbol
_atom_site_fract_x
_atom_site_fract_y
_atom_site_fract_z
Th1 Th 0.0000 0.0000 0.0000
Zr1 Zr 0.3333 0.6667 0.5695
Ti1 Ti 0.6667 0.3333 0.4033